Entry from Alexandria via LeMat-Bulk: a relaxed structure of Ac2ZrMnO6 (PBE with a Hubbard U).

## Properties
Mass density: 7.9 Mg/m³
Spin magnetization: 5.0 μB/f.u.
Raw total energy: -8.31 eV/atom

Lattice parameters (Å, degrees): 4.1574 4.1574 8.4688 90.00 90.00 90.00
With the nearest neighbours (Å) after each atom.
Positions (direct):
Ac (0.0000, 0.0000, 0.2808)  8 O 2.79-2.95
Ac (0.0000, 0.0000, 0.7192)  8 O 2.79-2.95
O (0.0000, 0.5000, 0.5000)  2 Mn 2.08
O (0.5000, 0.5000, 0.7538)  1 Zr 2.09, 1 Mn 2.15
Mn (0.5000, 0.5000, 0.5000)  6 O 2.08-2.15
Zr (0.5000, 0.5000, 0.0000)  6 O 2.08-2.09
O (0.5000, 0.5000, 0.2462)  1 Zr 2.09, 1 Mn 2.15
O (0.5000, 0.0000, 0.5000)  2 Mn 2.08
O (0.0000, 0.5000, 0.0000)  2 Zr 2.08
O (0.5000, 0.0000, 0.0000)  2 Zr 2.08